La4PSeS2: optimized geometry, GGA-PBE.

a = 7.294 Å, b = 4.216 Å, c = 7.363 Å
α = 90.00°, β = 109.25°, γ = 90.00°
Fractional positions:
La 0.243 0.000 0.237
La 0.250 0.500 0.759
La 0.750 0.500 0.241
La 0.757 0.000 0.763
P 0.500 0.000 0.000
Se 0.500 0.500 0.500
S 0.000 0.000 0.500
S 0.000 0.500 0.000

Properties
- Electronic total energy: -0.486 Ry/atom
- Volume: 213.7 Å³ per cell
- Energy relative to the elements, uncorrected: -2.012 eV per atom